Entry 1:
Material: CoMo3
Method: DFT, GGA-PBEsol
State: optimized geometry

symmetry: R-3m
energy relative to the elements: 0.34 eV/atom
total DFT energy (no corrections): -41.67 eV per cell
crystal system: trigonal

abc: 2.6919 2.6919 9.2093
angles: 81.60 81.60 60.00
Last column: nearest neighbours and their distance in Å.
Sites, in units of the cell vectors:
Mo: 0.2569 0.2569 0.2292  3 Co 2.60, 9 Mo 2.69-2.91
Mo: 0.5000 0.5000 0.5000  12 Mo 2.69-2.91
Mo: 0.7431 0.7431 0.7708  3 Co 2.60, 9 Mo 2.69-2.91
Co: 0.0000 0.0000 0.0000  6 Mo 2.60, 6 Co 2.69


Entry 2:
Material: Ni2HgRhCl
Method: DFT, GGA-PBEsol
State: optimized geometry

symmetry: P4/mmm
total DFT energy (no corrections): -18.63 eV per cell
crystal system: tetragonal

abc: 3.9923 3.9923 5.3679
angles: 90.00 90.00 90.00
Last column: nearest neighbours and their distance in Å.
Sites, in units of the cell vectors:
Ni: 0.0000 0.5000 0.0000  2 Cl 2.00
Ni: 0.5000 0.0000 0.0000  2 Cl 2.00
Rh: 0.5000 0.5000 0.5000  4 Hg 2.82
Hg: 0.0000 0.0000 0.5000  2 Cl 2.68, 4 Rh 2.82
Cl: 0.0000 0.0000 0.0000  4 Ni 2.00


Number 1: size of the total moment 0.76 μB/f.u.. Number 2: size of the total moment 0.42 μB/f.u..